w) ## PrNpTe3 (PBE-GGA)

Data for crystalline PrNpTe3 at its relaxed geometry.

POSCAR file:
```
PrNpTe3
1.0
5.852 0.000 0.000
0.000 7.596 0.000
0.000 -3.798 9.110
Pr Np Te
2 2 6
Cartesian
0.000 3.798 3.900
0.000 0.000 5.210
2.926 0.000 2.098
2.926 3.798 7.012
2.926 2.063 0.000
0.000 3.798 6.909
2.926 5.533 0.000
2.926 1.899 4.555
0.000 0.000 2.201
2.926 -1.899 4.555
```

Results
Total magnetic moment = 3.8 μB/f.u.
Fermi-level density of states = 24.8 states/eV/cell
Symmetry = No. 65


x) ## PrNpTe3 (PBE-GGA)

Data for crystalline PrNpTe3 at its relaxed geometry.

POSCAR file:
```
PrNpTe3
1.0
-5.225 2.969 -4.841
2.817 -4.556 -5.835
-8.402 -5.828 5.493
Pr Np Te
4 4 12
Cartesian
-6.785 -0.028 -1.475
-4.025 -7.386 -3.708
-0.854 -2.409 -3.186
-9.956 -5.005 -1.997
-6.970 -8.940 -1.641
-3.840 1.526 -3.541
-7.146 -3.374 -4.188
-3.664 -4.040 -0.995
-3.344 -1.018 -1.647
-7.465 -6.397 -3.536
-5.996 -0.453 -4.590
-4.814 -6.961 -0.592
-3.552 -1.133 -9.048
-7.257 -6.281 3.865
-4.162 -4.216 -4.129
-6.647 -3.199 -1.054
-1.550 -2.285 -6.333
-9.260 -5.129 1.150
-1.423 -5.759 -2.450
-9.387 -1.656 -2.733
```

Results
Total magnetic moment = 4.0 μB/f.u.
Fermi-level density of states = 36.2 states/eV/cell
Symmetry = No. 14


Top of the stability list: x), leading by 335 meV per atom.